#one
First-principles (PBE) data for Li3CoNi after structural relaxation, as listed in the Alexandria database.

Summary:
As for the total magnetization: 1.9 μB/cell. The density is 2.7 g cm⁻³. Its crystal system is cubic.

a = 4.378 Å, b = 4.378 Å, c = 4.378 Å
α = 90.00°, β = 90.00°, γ = 90.00°
Space group Pm-3m (No. 221)
Inequivalent atoms, fractional coordinates:
Li: 0.000 0.000 0.500
Co: 0.000 0.000 0.000
Ni: 0.500 0.500 0.500

---

#two
First-principles (PBE) data for Li3CoNi after structural relaxation, as listed in the Alexandria database.

Summary:
As for the total magnetization: 2.0 μB/cell. The density is 2.7 g cm⁻³. Its crystal system is cubic.

a = 4.379 Å, b = 4.379 Å, c = 4.379 Å
α = 90.00°, β = 90.00°, γ = 90.00°
Space group Pm-3m (No. 221)
Inequivalent atoms, fractional coordinates:
Li: 0.000 0.000 0.500
Co: 0.500 0.500 0.500
Ni: 0.000 0.000 0.000

---

Which structure is the most stable? The one labeled #two.